VASP calculation (PBE) on an optimized crystal structure of Tm2Zn5Cu5.

Summary:
formation energy from the elements: -242 meV/atom
Fermi-level density of states: 0.42 states/eV per atom
raw total energy: -3.2248 eV/atom
size of the total moment: 0.00 Bohr magnetons per cell

a b c (Å): 4.0805 5.1456 9.0273
angles (deg): 90.00 90.00 90.00
Fractional coordinates of all 12 atoms:
Tm 0.0000 0.0000 0.5000
Tm 0.0000 0.5000 0.0000
Cu 0.5000 0.2515 0.2513
Cu 0.5000 0.7485 0.2513
Cu 0.5000 0.7485 0.7487
Cu 0.5000 0.5000 0.5000
Cu 0.5000 0.2515 0.7487
Zn 0.5000 0.0000 0.0000
Zn 0.0000 0.5000 0.6668
Zn 0.0000 0.0000 0.1739
Zn 0.0000 0.0000 0.8261
Zn 0.0000 0.5000 0.3332

---

VASP calculation (PBE) on an optimized crystal structure of CaPSeS2.

Summary:
Fermi-level density of states: 0.84 states/eV per atom
raw total energy: -3.0574 eV/atom
uncorrected formation energy: 0.773 eV per atom
size of the total moment: 2.55 Bohr magnetons per cell

a b c (Å): 5.1930 5.1930 5.6728
angles (deg): 90.00 90.00 90.00
Fractional coordinates of all 5 atoms:
P 0.0000 0.0000 0.5000
S 0.5000 0.0000 0.0000
S 0.0000 0.5000 0.0000
Ca 0.0000 0.0000 0.0000
Se 0.5000 0.5000 0.5000

---

VASP calculation (PBE) on an optimized crystal structure of Tc2IrW.

Summary:
formation energy from the elements: 8 meV/atom
Fermi-level density of states: 0.87 states/eV per atom
raw total energy: -10.6282 eV/atom
size of the total moment: 0.00 Bohr magnetons per cell

a b c (Å): 9.2073 9.2073 9.2073
angles (deg): 17.27 17.27 17.27
Fractional coordinates of all 4 atoms:
Tc 0.9984 0.9984 0.9984
Tc 0.2531 0.2531 0.2531
Ir 0.7502 0.7502 0.7502
W 0.4982 0.4982 0.4982

---

VASP calculation (PBE) on an optimized crystal structure of K4Ac3AlTe8.

Summary:
Fermi-level density of states: 0.01 states/eV per atom
raw total energy: -4.0720 eV/atom
uncorrected formation energy: -1.222 eV per atom
size of the total moment: 0.00 Bohr magnetons per cell

a b c (Å): 9.4178 9.9178 9.4168
angles (deg): 118.34 120.00 90.00
Fractional coordinates of all 16 atoms:
Te 0.7706 0.7069 0.9886
Te 0.2574 0.2720 0.5148
Te 0.7819 0.2931 0.0114
Te 0.2182 0.7070 0.4364
Te 0.7818 0.2930 0.5636
Te 0.2181 0.7069 0.9886
Te 0.2294 0.2931 0.0114
Te 0.7426 0.7280 0.4852
Ac 0.0000 0.5000 0.5000
Ac 0.5000 0.5000 0.5000
Ac 0.5000 0.5000 0.0000
K 0.5000 0.0000 0.0000
K 0.0000 0.0000 0.5000
K 0.5000 0.0000 0.5000
K 0.0000 0.0000 0.0000
Al 0.0000 0.5000 0.0000

---

VASP calculation (PBE) on an optimized crystal structure of KTeBr2.

Summary:
Fermi-level density of states: 1.09 states/eV per atom
raw total energy: -2.5331 eV/atom
uncorrected formation energy: -0.637 eV per atom
size of the total moment: 0.00 Bohr magnetons per cell

a b c (Å): 8.2601 8.2601 4.2046
angles (deg): 81.37 81.37 30.88
Fractional coordinates of all 4 atoms:
Br 0.0219 0.0219 0.0487
Br 0.7567 0.7567 0.6837
Te 0.2521 0.2521 0.1879
K 0.4693 0.4693 0.5796

---

VASP calculation (PBE) on an optimized crystal structure of NaPrEr.

Summary:
formation energy from the elements: 150 meV/atom
Fermi-level density of states: 1.34 states/eV per atom
raw total energy: -3.4034 eV/atom
size of the total moment: 0.00 Bohr magnetons per cell

a b c (Å): 3.5601 3.5601 8.5279
angles (deg): 102.05 102.05 90.00
Fractional coordinates of all 3 atoms:
Er 0.6735 0.6735 0.3469
Pr 0.3240 0.3240 0.6480
Na 0.0025 0.0025 0.0051